(1)
A plane-wave DFT calculation with GGA+U was carried out for a geometry-optimized AcY2WO8 structure.

Results
The energy comes out at -97.8 eV/cell. Its space group is No. 65. As for the density of states at the Fermi level: 0.360 states/eV/atom.

abc: 5.060 5.060 7.196
angles: 90.00 90.00 90.44
Fractional coordinates of all 12 atoms:
Ac 0.000 0.000 0.000
Y 0.500 0.500 0.266
Y 0.500 0.500 0.734
W 0.000 0.000 0.500
O 0.185 0.815 0.301
O 0.185 0.815 0.699
O 0.277 0.277 0.500
O 0.328 0.328 0.000
O 0.672 0.672 0.000
O 0.723 0.723 0.500
O 0.815 0.185 0.301
O 0.815 0.185 0.699

---

(2)
A plane-wave DFT calculation with GGA+U was carried out for a geometry-optimized AcZnWO6 structure.

Results
The energy comes out at -123.1 eV/cell. Its space group is No. 163. As for the density of states at the Fermi level: 0.557 states/eV/atom.

abc: 5.343 5.343 10.655
angles: 90.00 90.00 120.00
Fractional coordinates of all 18 atoms:
Ac 0.000 0.000 0.000
Ac 0.000 0.000 0.500
Zn 0.333 0.667 0.250
Zn 0.667 0.333 0.750
W 0.333 0.667 0.750
W 0.667 0.333 0.250
O 0.018 0.386 0.645
O 0.018 0.632 0.855
O 0.368 0.386 0.855
O 0.368 0.982 0.645
O 0.386 0.018 0.145
O 0.386 0.368 0.355
O 0.614 0.632 0.645
O 0.614 0.982 0.855
O 0.632 0.018 0.355
O 0.632 0.614 0.145
O 0.982 0.368 0.145
O 0.982 0.614 0.355

---

(3)
A plane-wave DFT calculation with GGA+U was carried out for a geometry-optimized AcZr2WO8 structure.

Results
The energy comes out at -102.8 eV/cell. Its space group is No. 2. As for the density of states at the Fermi level: 0.000 states/eV/atom.

abc: 5.025 5.025 6.859
angles: 90.17 90.13 91.65
Fractional coordinates of all 12 atoms:
Ac 0.000 0.000 0.000
Zr 0.497 0.497 0.257
Zr 0.503 0.503 0.743
W 0.000 0.000 0.500
O 0.200 0.198 0.701
O 0.205 0.203 0.292
O 0.294 0.705 0.500
O 0.329 0.667 0.000
O 0.671 0.333 0.000
O 0.706 0.295 0.500
O 0.795 0.797 0.708
O 0.800 0.802 0.299